*A*
DFT (GGA-PBE) results for a relaxed TbBeCu4 crystal.

Unit cell a=5.0791 b=5.0791 c=3.8811 alpha=90.00 beta=90.00 gamma=120.00
Fractional coordinates of all 6 atoms:
1 Be 0.6667 0.3333 0.0000
2 Cu 0.0000 0.0000 0.0000
3 Tb 0.3333 0.6667 0.0000
4 Cu 0.8287 0.6575 0.5000
5 Cu 0.8287 0.1713 0.5000
6 Cu 0.3425 0.1713 0.5000

Output
D(E_F): 0.65 states/eV per atom

*B*
DFT (GGA-PBE) results for a relaxed TbBeCu4 crystal.

Unit cell a=4.9677 b=4.9677 c=4.9677 alpha=60.00 beta=60.00 gamma=60.00
Fractional coordinates of all 6 atoms:
1 Be 0.0000 0.0000 0.0000
2 Cu 0.6265 0.6264 0.1206
3 Tb 0.2500 0.2500 0.2500
4 Cu 0.1206 0.6264 0.6264
5 Cu 0.6265 0.6264 0.6264
6 Cu 0.6265 0.1206 0.6264

Output
D(E_F): 1.10 states/eV per atom

Relative energies in meV per atom: *A* 0; *B* 99

*A*
DFT (GGA-PBE) results for a relaxed Be2CuTc2 crystal.

Unit cell a=4.1694 b=4.1694 c=4.7864 alpha=64.18 beta=64.18 gamma=90.00
Fractional coordinates of all 5 atoms:
1 Cu 0.0000 0.0000 0.0000
2 Tc 0.6526 0.6526 0.6949
3 Be 0.2500 0.7500 0.5000
4 Be 0.7500 0.2500 0.5000
5 Tc 0.3474 0.3474 0.3051

Output
D(E_F): 0.45 states/eV per atom

*B*
DFT (GGA-PBE) results for a relaxed Be2CuTc2 crystal.

Unit cell a=5.8637 b=5.8637 c=3.2265 alpha=90.00 beta=90.00 gamma=90.00
Fractional coordinates of all 10 atoms:
1 Tc 0.8236 0.3236 0.5000
2 Tc 0.3236 0.1764 0.5000
3 Cu 0.5000 0.5000 0.0000
4 Be 0.8775 0.6225 0.0000
5 Be 0.1225 0.3775 0.0000
6 Be 0.3775 0.8775 0.0000
7 Tc 0.1764 0.6764 0.5000
8 Be 0.6225 0.1225 0.0000
9 Tc 0.6764 0.8236 0.5000
10 Cu 0.0000 0.0000 0.0000

Output
D(E_F): 1.72 states/eV per atom

*C*
DFT (GGA-PBE) results for a relaxed Be2CuTc2 crystal.

Unit cell a=6.5755 b=6.5755 c=2.9154 alpha=90.00 beta=90.00 gamma=90.00
Fractional coordinates of all 10 atoms:
1 Be 0.8260 0.3260 0.5000
2 Cu 0.0000 0.0000 0.0000
3 Be 0.6740 0.8260 0.5000
4 Tc 0.8769 0.6231 0.0000
5 Tc 0.3769 0.8769 0.0000
6 Tc 0.1231 0.3769 0.0000
7 Be 0.1740 0.6740 0.5000
8 Be 0.3260 0.1740 0.5000
9 Tc 0.6231 0.1231 0.0000
10 Cu 0.5000 0.5000 0.0000

Output
D(E_F): 0.80 states/eV per atom

Relative energies in meV per atom: *A* 581; *B* 0; *C* 388

*A*
DFT (GGA-PBE) results for a relaxed BeCu3Te crystal.

Unit cell a=4.2451 b=4.2451 c=4.2451 alpha=90.00 beta=90.00 gamma=90.00
Fractional coordinates of all 5 atoms:
1 Be 0.0000 0.0000 0.0000
2 Cu 0.5000 0.0000 0.0000
3 Cu 0.0000 0.5000 0.0000
4 Cu 0.0000 0.0000 0.5000
5 Te 0.5000 0.5000 0.5000

Output
D(E_F): 0.52 states/eV per atom

*B*
DFT (GGA-PBE) results for a relaxed BeCu3Te crystal.

Unit cell a=4.8879 b=4.8879 c=4.8879 alpha=90.00 beta=90.00 gamma=90.00
Fractional coordinates of all 5 atoms:
1 Cu 0.0000 0.0000 0.5000
2 Cu 0.0000 0.5000 0.0000
3 Cu 0.5000 0.0000 0.0000
4 Be 0.5000 0.5000 0.5000
5 Te 0.0000 0.0000 0.0000

Output
D(E_F): 0.68 states/eV per atom

Relative energies in meV per atom: *A* 0; *B* 715

*A*
DFT (GGA-PBE) results for a relaxed BeCu2Te crystal.

Unit cell a=5.0564 b=5.0564 c=5.0564 alpha=136.65 beta=136.67 gamma=62.96
Fractional coordinates of all 4 atoms:
1 Be 0.2500 0.7500 0.5000
2 Cu 0.4998 0.4998 0.0000
3 Cu 0.0002 0.0002 0.0000
4 Te 0.7500 0.2500 0.5000

Output
D(E_F): 0.31 states/eV per atom

*B*
DFT (GGA-PBE) results for a relaxed BeCu2Te crystal.

Unit cell a=3.7695 b=3.7695 c=5.1584 alpha=90.01 beta=90.01 gamma=60.00
Fractional coordinates of all 4 atoms:
1 Te 0.3750 0.3750 0.5000
2 Be 0.3750 0.3750 0.0000
3 Cu 0.0417 0.0417 0.1457
4 Cu 0.7083 0.7083 0.8543

Output
D(E_F): 0.56 states/eV per atom

*C*
DFT (GGA-PBE) results for a relaxed BeCu2Te crystal.

Unit cell a=4.4486 b=4.4486 c=4.4486 alpha=60.00 beta=60.00 gamma=60.00
Fractional coordinates of all 4 atoms:
1 Te 0.7500 0.7500 0.7500
2 Cu 0.2500 0.2500 0.2500
3 Be 0.5000 0.5000 0.5000
4 Cu 0.0000 0.0000 0.0000

Output
D(E_F): 0.19 states/eV per atom

*D*
DFT (GGA-PBE) results for a relaxed BeCu2Te crystal.

Unit cell a=4.0046 b=4.0046 c=8.6057 alpha=76.55 beta=76.55 gamma=90.00
Fractional coordinates of all 8 atoms:
1 Cu 0.1953 0.6250 0.2500
2 Be 0.2500 0.7500 0.5000
3 Be 0.5000 0.5000 0.0000
4 Te 0.7500 0.2500 0.5000
5 Cu 0.5547 0.1250 0.2500
6 Cu 0.8750 0.8047 0.7500
7 Te 0.0000 0.0000 0.0000
8 Cu 0.3750 0.4453 0.7500

Output
D(E_F): 0.51 states/eV per atom

Relative energies in meV per atom: *A* 195; *B* 0; *C* 334; *D* 110

*A*
DFT (GGA-PBE) results for a relaxed BeCu2Te crystal.

Unit cell a=4.0420 b=4.0420 c=3.8226 alpha=90.00 beta=90.00 gamma=102.19
Fractional coordinates of all 4 atoms:
1 Cu 0.5000 0.5000 0.0000
2 Be 0.0000 0.5000 0.5000
3 Cu 0.0000 0.0000 0.0000
4 Te 0.5000 0.0000 0.5000

Output
D(E_F): 0.26 states/eV per atom

*B*
DFT (GGA-PBE) results for a relaxed BeCu2Te crystal.

Unit cell a=4.4707 b=4.4707 c=4.4707 alpha=60.00 beta=60.00 gamma=60.00
Fractional coordinates of all 4 atoms:
1 Te 0.5000 0.5000 0.5000
2 Be 0.0000 0.0000 0.0000
3 Cu 0.2500 0.2500 0.2500
4 Cu 0.7500 0.7500 0.7500

Output
D(E_F): 0.14 states/eV per atom

Relative energies in meV per atom: *A* 0; *B* 147

*A*
DFT (GGA-PBE) results for a relaxed BeCu2Te crystal.

Unit cell a=3.7801 b=3.6441 c=4.8309 alpha=89.96 beta=90.00 gamma=90.00
Fractional coordinates of all 4 atoms:
1 Cu 0.0000 0.7515 0.9979
2 Cu 0.0000 0.7485 0.5021
3 Be 0.5000 0.7500 0.7500
4 Te 0.5000 0.2500 0.2500

Output
D(E_F): 0.23 states/eV per atom

*B*
DFT (GGA-PBE) results for a relaxed BeCu2Te crystal.

Unit cell a=4.8514 b=4.8514 c=4.8514 alpha=132.95 beta=132.95 gamma=68.73
Fractional coordinates of all 4 atoms:
1 Te 0.5000 0.5000 0.0000
2 Be 0.7500 0.2500 0.5000
3 Cu 0.0000 0.0000 0.0000
4 Cu 0.2500 0.7500 0.5000

Output
D(E_F): 0.43 states/eV per atom

*C*
DFT (GGA-PBE) results for a relaxed BeCu2Te crystal.

Unit cell a=5.1717 b=5.1717 c=5.1717 alpha=44.99 beta=44.99 gamma=44.99
Fractional coordinates of all 4 atoms:
1 Cu 0.0432 0.0432 0.0432
2 Cu 0.4568 0.4568 0.4568
3 Te 0.2500 0.2500 0.2500
4 Be 0.7500 0.7500 0.7500

Output
D(E_F): 0.35 states/eV per atom

Relative energies in meV per atom: *A* 57; *B* 181; *C* 0